No. 1
# NaTl2RhO6

A geometry-optimized NaTl2RhO6 structure (PBE-GGA, the Alexandria database).

a b c (Å): 5.669 5.669 5.909
angles (deg): 61.35 61.34 60.00
Element x y z (fractional)
Tl  0.026  0.026  0.922
Tl  0.536  0.536  0.393
O  0.412  0.674  0.782
O  0.974  0.565  0.247
O  0.214  0.974  0.246
O  0.674  0.132  0.782
O  0.132  0.412  0.782
O  0.565  0.214  0.247
Na  0.807  0.807  0.579
Rh  0.321  0.321  0.036

The calculation puts the density of states at the Fermi level at 3.12 states/eV/f.u. Its calculated density is 7.65 g/cm3. Its formation energy without anion corrections is -0.76 eV per atom. As for the space group: R3, No. 146. The crystal system is trigonal.

No. 2
# La2ZnSnS5

A geometry-optimized La2ZnSnS5 structure (PBE-GGA, the Alexandria database).

a b c (Å): 4.026 9.072 11.777
angles (deg): 90.00 90.00 102.82
Element x y z (fractional)
La  0.891  0.782  0.186
La  0.109  0.218  0.686
La  0.876  0.751  0.806
La  0.124  0.249  0.306
S  0.494  0.988  0.776
S  0.958  0.916  0.558
S  0.637  0.273  0.501
S  0.713  0.427  0.185
S  0.042  0.084  0.058
S  0.287  0.573  0.685
S  0.674  0.348  0.845
S  0.326  0.652  0.345
S  0.363  0.727  0.001
S  0.506  0.012  0.276
Sn  0.206  0.412  0.014
Sn  0.794  0.588  0.514
Zn  0.553  0.105  0.954
Zn  0.447  0.895  0.454

Its calculated density is 4.93 g/cm3. Its formation energy without anion corrections is -1.43 eV per atom. As for the space group: Cmc2_1, No. 36. The crystal system is orthorhombic.

No. 3
# HgAsSeBr2

A geometry-optimized HgAsSeBr2 structure (PBE-GGA, the Alexandria database).

a b c (Å): 5.402 5.402 5.517
angles (deg): 90.00 90.00 90.00
Element x y z (fractional)
Br  0.500  0.000  0.000
Br  0.000  0.500  0.000
As  0.500  0.500  0.500
Hg  0.000  0.000  0.000
Se  0.000  0.000  0.500

The calculation puts the density of states at the Fermi level at 3.60 states/eV/f.u. Its calculated density is 5.30 g/cm3. Its formation energy without anion corrections is 0.59 eV per atom. As for the space group: P4/mmm, No. 123. The energy above the lowest structure with this stoichiometry is 2.62 eV per formula unit. The crystal system is tetragonal.

> The highest calculated density belongs to which entry?

NaTl2RhO6

> The highest calculated density belongs to which entry?

NaTl2RhO6

> Which formula does entry 3 have?

HgAsSeBr2